A relaxed structure of TbScPbC. Source: OQMD via LeMat-Bulk, functional PBE.

The structure in POSCAR format:
```
TbScPbC
1.0
3.530 0.000 0.000
-1.765 3.057 0.000
0.000 0.000 15.723
C Sc Pb Tb
2 2 2 2
direct
0.000 0.000 0.738
0.000 0.000 0.262
0.667 0.333 0.663
0.667 0.333 0.337
0.667 0.333 0.000
0.333 0.667 0.500
0.333 0.667 0.175
0.333 0.667 0.825
```

theoretical density: 8.28 g/cm³
DFT total energy: -6.484 eV/atom

A relaxed structure of ZrGa2Pd2. Source: OQMD via LeMat-Bulk, functional PBE.

The structure in POSCAR format:
```
ZrGa2Pd2
1.0
-4.064 4.080 4.932
-4.887 -5.750 0.730
1.572 -1.060 2.172
Ga Zr Pd
4 2 4
direct
0.631 0.131 0.000
0.131 0.369 0.000
0.869 0.631 0.000
0.369 0.869 0.000
0.000 0.000 0.000
0.500 0.500 0.000
0.834 0.334 0.500
0.666 0.834 0.500
0.334 0.166 0.500
0.166 0.666 0.500
```

theoretical density: 8.89 g/cm³
excess energy over the best structure of this formula in the dataset: 15 meV per atom

A relaxed structure of DyHoCuS3. Source: OQMD via LeMat-Bulk, functional PBE.

The structure in POSCAR format:
```
DyHoCuS3
1.0
1.874 -6.277 0.000
1.874 6.277 0.000
0.000 0.000 10.099
S Ho Cu Dy
6 2 2 2
direct
0.856 0.144 0.921
0.144 0.856 0.421
0.597 0.403 0.750
0.856 0.144 0.579
0.144 0.856 0.079
0.403 0.597 0.250
0.500 0.500 0.500
0.500 0.500 0.000
0.982 0.018 0.750
0.018 0.982 0.250
0.731 0.269 0.250
0.269 0.731 0.750
```

theoretical density: 6.81 g/cm³
DFT total energy: -5.751 eV/atom